1.
First-principles (PBEsol) data for a geometry-optimized KH3Se structure, as listed in the Alexandria database.

Unit cell a=4.0354 b=4.0354 c=4.0354 alpha=90.00 beta=90.00 gamma=90.00
Closest atoms and distances in Å follow each position.
Element x y z (fractional)
1 H 0.0000 0.5000 0.0000  2 K 2.02
2 H 0.0000 0.0000 0.5000  2 K 2.02
3 H 0.5000 0.0000 0.0000  2 K 2.02
4 K 0.0000 0.0000 0.0000  6 H 2.02
5 Se 0.5000 0.5000 0.5000  12 H 2.85

---

2.
First-principles (PBEsol) data for a geometry-optimized K3HSe structure, as listed in the Alexandria database.

Unit cell a=5.0822 b=5.0822 c=5.0822 alpha=90.00 beta=90.00 gamma=90.00
Closest atoms and distances in Å follow each position.
Element x y z (fractional)
1 H 0.0000 0.0000 0.0000  6 K 2.54
2 K 0.0000 0.5000 0.0000  2 H 2.54
3 K 0.0000 0.0000 0.5000  2 H 2.54
4 K 0.5000 0.0000 0.0000  2 H 2.54
5 Se 0.5000 0.5000 0.5000  12 K 3.59

---

3.
First-principles (PBEsol) data for a geometry-optimized K2HSe structure, as listed in the Alexandria database.

Unit cell a=4.0710 b=8.0584 c=8.0584 alpha=86.34 beta=75.37 gamma=75.37
Closest atoms and distances in Å follow each position.
Element x y z (fractional)
1 H 0.5000 0.0000 0.0000  2 Se 2.04
2 H 0.2500 0.5000 0.5000  2 Se 2.04
3 K 0.8750 0.7500 0.7500  2 H 2.80
4 K 0.3750 0.2500 0.2500  2 H 2.80
5 K 0.3750 0.7500 0.2500  2 H 2.80
6 K 0.3750 0.2500 0.7500  2 H 2.80
7 Se 0.0000 0.0000 0.0000  2 H 2.04
8 Se 0.7500 0.5000 0.5000  2 H 2.04

---

4.
First-principles (PBEsol) data for a geometry-optimized KTaHSe2 structure, as listed in the Alexandria database.

Unit cell a=3.3755 b=5.3254 c=5.3254 alpha=90.00 beta=90.00 gamma=90.00
Closest atoms and distances in Å follow each position.
Element x y z (fractional)
1 H 0.5000 0.0000 0.0000  2 K 1.69
2 K 0.0000 0.0000 0.0000  2 H 1.69
3 Se 0.0000 0.0000 0.5000  2 K 2.66
4 Se 0.0000 0.5000 0.0000  2 K 2.66
5 Ta 0.5000 0.5000 0.5000  8 Se 3.15, 2 Ta 3.38

---

5.
First-principles (PBEsol) data for a geometry-optimized KSiH3 structure, as listed in the Alexandria database.

Unit cell a=5.0987 b=6.6239 c=8.5183 alpha=90.00 beta=90.00 gamma=90.00
Closest atoms and distances in Å follow each position.
Element x y z (fractional)
1 H 0.7500 0.3004 0.8638  1 Si 1.55
2 H 0.2500 0.8004 0.6362  1 Si 1.55
3 H 0.2500 0.6996 0.1362  1 Si 1.55
4 H 0.7500 0.1996 0.3638  1 Si 1.55
5 H 0.5307 0.1968 0.0783  1 Si 1.56
6 H 0.4693 0.6968 0.4217  1 Si 1.56
7 H 0.0307 0.8032 0.9217  1 Si 1.56
8 H 0.9693 0.3032 0.5783  1 Si 1.56
9 H 0.4693 0.8032 0.9217  1 Si 1.56
10 H 0.5307 0.3032 0.5783  1 Si 1.56
11 H 0.9693 0.1968 0.0783  1 Si 1.56
12 H 0.0307 0.6968 0.4217  1 Si 1.56
13 K 0.7500 0.8529 0.1882  9 H 2.66-2.78
14 K 0.2500 0.3529 0.3118  9 H 2.66-2.78
15 K 0.2500 0.1471 0.8118  9 H 2.66-2.78
16 K 0.7500 0.6471 0.6882  9 H 2.66-2.78
17 Si 0.7500 0.3539 0.0409  3 H 1.55-1.56
18 Si 0.2500 0.8539 0.4591  3 H 1.55-1.56
19 Si 0.2500 0.6461 0.9591  3 H 1.55-1.56
20 Si 0.7500 0.1461 0.5409  3 H 1.55-1.56

---

6.
First-principles (PBEsol) data for a geometry-optimized KSiH2 structure, as listed in the Alexandria database.

Unit cell a=4.2641 b=4.2641 c=4.2641 alpha=60.00 beta=60.00 gamma=60.00
Closest atoms and distances in Å follow each position.
Element x y z (fractional)
1 H 0.2500 0.2500 0.2500  4 Si 2.61, 4 K 2.61
2 H 0.7500 0.7500 0.7500  4 K 2.61, 4 Si 2.61
3 K 0.5000 0.5000 0.5000  8 H 2.61
4 Si 0.0000 0.0000 0.0000  8 H 2.61

---

7.
First-principles (PBEsol) data for a geometry-optimized K2ZrSiH structure, as listed in the Alexandria database.

Unit cell a=4.3226 b=4.3226 c=5.6217 alpha=90.00 beta=90.00 gamma=90.00
Closest atoms and distances in Å follow each position.
Element x y z (fractional)
1 H 0.0000 0.0000 0.0000  4 K 2.16
2 K 0.0000 0.5000 0.0000  2 H 2.16
3 K 0.5000 0.0000 0.0000  2 H 2.16
4 Si 0.5000 0.5000 0.5000  4 Zr 3.06
5 Zr 0.0000 0.0000 0.5000  2 H 2.81, 4 Si 3.06

---

8.
First-principles (PBEsol) data for a geometry-optimized K3TcH structure, as listed in the Alexandria database.

Unit cell a=6.1689 b=6.1689 c=6.1689 alpha=90.00 beta=90.00 gamma=90.00
Closest atoms and distances in Å follow each position.
Element x y z (fractional)
1 H 0.5000 0.5000 0.5000  12 K 4.36
2 K 0.0000 0.5000 0.0000  2 Tc 3.08
3 K 0.0000 0.0000 0.5000  2 Tc 3.08
4 K 0.5000 0.0000 0.0000  2 Tc 3.08
5 Tc 0.0000 0.0000 0.0000  6 K 3.08

---

Computed electronic total energy, in the same sequence as the records: -9.2 -14.0 -22.4 -18.9 -69.7 -10.4 -18.2 -10.8 eV/cell.
Computed N(E_F), in the same sequence as the records: 0.3653 0.0000 0.3703 0.6290 0.0000 0.3945 0.5709 1.8788 states/eV per atom.